LiSnOs | OQMD via LeMat-Bulk | PBE | optimized geometry; raw total energy = -5.27 eV per atom; space group = F-43m, No. 216
1.0
3.544 -0.841 2.371
2.038 3.225 2.081
-0.178 0.243 4.336
Li Os Sn
1 1 1
Cartesian
1.351 0.657 2.197 Li
0.000 0.000 0.000 Os
4.053 1.971 6.591 Sn